No. 1
Fe2IrPdRh | PBE-GGA | optimized geometry

Properties
Fermi-level density of states = 1.40 states/eV per atom
formation energy from the elements = 1.5603 eV per atom
space group = P4/mmm, No. 123
DFT total energy = -30.53 eV per cell

a = 4.4670 Å, b = 4.4670 Å, c = 4.7403 Å
α = 90.00°, β = 90.00°, γ = 90.00°
Fractional coordinates of all 5 atoms:
1 Fe 0.0000 0.5000 0.0000
2 Fe 0.5000 0.0000 0.0000
3 Ir 0.0000 0.0000 0.5000
4 Pd 0.5000 0.5000 0.5000
5 Rh 0.5000 0.5000 0.0000

***

No. 2
ZrFe2IrPd | PBE-GGA | optimized geometry

Properties
Fermi-level density of states = 1.33 states/eV per atom
formation energy from the elements = 1.1330 eV per atom
space group = P4/mmm, No. 123
DFT total energy = -33.86 eV per cell

a = 4.5018 Å, b = 4.5018 Å, c = 4.9487 Å
α = 90.00°, β = 90.00°, γ = 90.00°
Fractional coordinates of all 5 atoms:
1 Zr 0.0000 0.0000 0.0000
2 Fe 0.0000 0.5000 0.5000
3 Fe 0.5000 0.0000 0.5000
4 Ir 0.5000 0.5000 0.0000
5 Pd 0.0000 0.0000 0.5000

***

No. 3
Pm2FeIr | PBE-GGA | optimized geometry

Properties
Fermi-level density of states = 1.54 states/eV per atom
formation energy from the elements = -0.1619 eV per atom
space group = P4/mmm, No. 123
DFT total energy = -27.47 eV per cell

a = 4.9264 Å, b = 4.9264 Å, c = 3.5799 Å
α = 90.00°, β = 90.00°, γ = 90.00°
Fractional coordinates of all 4 atoms:
1 Pm 0.0000 0.5000 0.0000
2 Pm 0.5000 0.0000 0.0000
3 Fe 0.0000 0.0000 0.5000
4 Ir 0.5000 0.5000 0.5000

***

No. 4
PmFeSi2Ir | PBE-GGA | optimized geometry

Properties
energy relative to the elements, uncorrected = -0.87 eV/atom
Fermi-level density of states = 0.53 states/eV per atom
space group = I-4m2, No. 119
DFT total energy = -37.26 eV per cell

a = 5.7290 Å, b = 5.7290 Å, c = 5.7290 Å
α = 138.37°, β = 138.37°, γ = 60.34°
Fractional coordinates of all 5 atoms:
1 Pm 0.0000 0.0000 0.0000
2 Fe 0.7500 0.2500 0.5000
3 Si 0.3702 0.3702 0.0000
4 Si 0.6298 0.6298 0.0000
5 Ir 0.2500 0.7500 0.5000

***

No. 5
Pm2FeSiIr | PBE-GGA | optimized geometry

Properties
energy relative to the elements, uncorrected = -0.55 eV/atom
Fermi-level density of states = 0.63 states/eV per atom
space group = P4/nmm, No. 129
DFT total energy = -69.99 eV per cell

a = 4.0811 Å, b = 4.0811 Å, c = 13.1025 Å
α = 90.00°, β = 90.00°, γ = 90.00°
Fractional coordinates of all 10 atoms:
1 Pm 0.2500 0.2500 0.1053
2 Pm 0.2500 0.2500 0.6709
3 Pm 0.7500 0.7500 0.3291
4 Pm 0.7500 0.7500 0.8947
5 Fe 0.2500 0.7500 0.5000
6 Fe 0.7500 0.2500 0.5000
7 Si 0.2500 0.2500 0.4179
8 Si 0.7500 0.7500 0.5821
9 Ir 0.2500 0.2500 0.8840
10 Ir 0.7500 0.7500 0.1160

***

No. 6
FeIr2Pt | PBE-GGA | optimized geometry

Properties
Fermi-level density of states = 0.88 states/eV per atom
formation energy from the elements = -0.0586 eV per atom
space group = I-4m2, No. 119
DFT total energy = -32.46 eV per cell

a = 4.7127 Å, b = 4.7127 Å, c = 4.7127 Å
α = 131.71°, β = 131.71°, γ = 70.69°
Fractional coordinates of all 4 atoms:
1 Fe 0.0000 0.0000 0.0000
2 Ir 0.5000 0.5000 0.0000
3 Ir 0.7500 0.2500 0.5000
4 Pt 0.2500 0.7500 0.5000

***

Fermi-level density of states of number 1 (Fe2IrPdRh)? 1.40 states/eV per atom